Computed, not measured: NiMoCl4 after structural relaxation at the PBE level of DFT.

Values from the calculation:
Magnetization = 16.42 Bohr magnetons per cell
Density of states at the Fermi level = 42.91 states/eV per cell
E_tot = -0.19728 Ry per atom
ΔE_f (raw) = 7.89 eV/f.u.

a b c (Å): 8.1771 8.1771 8.1771
angles (deg): 90.00 90.00 90.00
Space group F-43m (No. 216)
One atom of each set of equivalent atoms:
Ni  0.0000  0.0000  0.0000 x4
Mo  0.2500  0.2500  0.2500 x4
Cl  0.1254  0.1254  0.6254 x16

---

Computed, not measured: NiMoCl2 after structural relaxation at the PBE level of DFT.

Values from the calculation:
Magnetization = 8.09 Bohr magnetons per cell
Density of states at the Fermi level = 4.83 states/eV per cell
E_tot = -0.31347 Ry per atom
ΔE_f (raw) = 3.25 eV/f.u.

a b c (Å): 6.4232 6.4232 6.4232
angles (deg): 90.00 90.00 90.00
Space group F-43m (No. 216)
One atom of each set of equivalent atoms:
Ni  0.0000  0.0000  0.0000 x4
Mo  0.2500  0.2500  0.7500 x4
Cl  0.0000  0.0000  0.5000 x4
Cl  0.2500  0.2500  0.2500 x4